Entry 1:
{
  "formula": "NdInB4",
  "functional": "PBE",
  "state": "relaxed",
  "spacegroup": "P6/mmm (191)",
  "cell": [[3.235, 0.000, 0.000], [-1.618, 2.802, 0.000], [0.000, 0.000, 8.020]],
  "species": ["Nd", "In", "B", "B", "B", "B"],
  "fractional_positions": [[0.000, 0.000, 0.000], [0.000, 0.000, 0.500], [0.333, 0.667, 0.264], [0.333, 0.667, 0.736], [0.667, 0.333, 0.264], [0.667, 0.333, 0.736]]
}

---

Entry 2:
{
  "formula": "InNiB4",
  "functional": "PBE",
  "state": "relaxed",
  "spacegroup": "P6/mmm (191)",
  "cell": [[3.082, 0.000, 0.000], [-1.541, 2.669, 0.000], [0.000, 0.000, 7.288]],
  "species": ["In", "Ni", "B", "B", "B", "B"],
  "fractional_positions": [[0.000, 0.000, 0.000], [0.000, 0.000, 0.500], [0.333, 0.667, 0.306], [0.333, 0.667, 0.694], [0.667, 0.333, 0.306], [0.667, 0.333, 0.694]]
}

---

The following excess energy over the best structure of this formula in the dataset values (in meV/atom) correspond, in order, to the records above: 151 0.
The following DFT total energy values (in eV per formula unit) correspond, in order, to the records above: -33.3 -32.9.
The following spin magnetization values (in μB/f.u.) correspond, in order, to the records above: 0.01 0.01.